Crystalline CaEuHf4O12 at its relaxed geometry, computed with PBE-GGA.

Summary:
Formation energy from raw total energies in eV per atom: -2.867
Spin magnetization in μB/cell: 8.8
SG: Amm2, No. 38
Final energy in eV per atom: -9.066

Unit cell a=5.7008 b=5.7008 c=8.1379 alpha=90.00 beta=90.00 gamma=89.91
Last column: nearest neighbours and their distance in Å.
Fractional positions:
O  0.7997  0.8062  0.2785  2 Hf 2.08
O  0.5021  0.0695  0.0000  2 Hf 2.05, 1 Ca 2.28
O  0.3189  0.6811  0.1944  2 Hf 2.02
O  0.3189  0.6811  0.8056  2 Hf 2.02
O  0.0380  0.5688  0.5000  2 Hf 2.10
O  0.7274  0.2726  0.2829  2 Hf 2.16
O  0.4312  0.9620  0.5000  2 Hf 2.10
O  0.9305  0.4979  0.0000  2 Hf 2.05, 1 Ca 2.28
O  0.1938  0.2003  0.7215  2 Hf 2.08
O  0.7997  0.8062  0.7215  2 Hf 2.08
O  0.1938  0.2003  0.2785  2 Hf 2.08
O  0.7274  0.2726  0.7171  2 Hf 2.16
Ca  0.5313  0.4687  0.0000  4 O 2.28-2.33
Hf  0.4854  0.9858  0.7548  6 O 2.02-2.16
Hf  0.4854  0.9858  0.2452  6 O 2.02-2.16
Hf  0.0142  0.5146  0.2452  6 O 2.02-2.16
Hf  0.0142  0.5146  0.7548  6 O 2.02-2.16
Eu  0.9776  0.0224  0.5000  8 O 2.41-2.68